# TmHfSn2 | Alexandria via LeMat-Bulk | PBE | relaxed
data_TmHfSn2
_chemical_formula_sum 'Tm1 Hf1 Sn2'
_symmetry_space_group_name_H-M 'P 4/m m m'
_symmetry_Int_Tables_number 123
_symmetry_space_group_name_Hall '-P 4 2'
_cell_length_a 3.305
_cell_length_b 3.305
_cell_length_c 8.665
_cell_angle_alpha 90.00
_cell_angle_beta 90.00
_cell_angle_gamma 90.00
loop_
_atom_site_label
_atom_site_type_symbol
_atom_site_fract_x
_atom_site_fract_y
_atom_site_fract_z
Tm1 Tm 0.000 0.000 0.000
Hf1 Hf 0.000 0.000 0.500
Sn1 Sn 0.500 0.500 0.260
# Formation enthalpy at 0 K = -0.3829 eV/atom
# Raw total energy = -5.991 eV/atom
# Relative energy among the computed polymorphs = 0 meV per atom
# Magnetization = 0.371 μB per formula unit


# Nd5Bi2C | Alexandria via LeMat-Bulk | PBE | relaxed
data_Nd5Bi2C
_chemical_formula_sum 'Nd20 Bi8 C4'
_symmetry_space_group_name_H-M 'C m c m'
_symmetry_Int_Tables_number 63
_symmetry_space_group_name_Hall '-C 2c 2'
_cell_length_a 5.880
_cell_length_b 10.521
_cell_length_c 15.913
_cell_angle_alpha 90.00
_cell_angle_beta 90.00
_cell_angle_gamma 90.00
loop_
_atom_site_label
_atom_site_type_symbol
_atom_site_fract_x
_atom_site_fract_y
_atom_site_fract_z
Nd1 Nd 0.000 0.094 0.135
Nd2 Nd 0.000 0.250 0.750
Nd3 Nd 0.000 0.405 0.135
Bi1 Bi 0.000 0.251 0.556
C1 C 0.000 0.250 0.250
# Formation enthalpy at 0 K = -0.3347 eV/atom
# Raw total energy = -5.438 eV/atom
# Magnetization = 0.000 μB per formula unit


# AlVH | Alexandria via LeMat-Bulk | PBE | relaxed
data_AlVH
_chemical_formula_sum 'Al4 V4 H4'
_symmetry_space_group_name_H-M 'P 1 21/c 1'
_symmetry_Int_Tables_number 14
_symmetry_space_group_name_Hall '-P 2ybc'
_cell_length_a 4.881
_cell_length_b 4.679
_cell_length_c 5.593
_cell_angle_alpha 90.00
_cell_angle_beta 93.74
_cell_angle_gamma 90.00
loop_
_atom_site_label
_atom_site_type_symbol
_atom_site_fract_x
_atom_site_fract_y
_atom_site_fract_z
Al1 Al 0.077 0.240 0.374
V1 V 0.407 0.750 0.399
H1 H 0.344 0.527 0.641
# Raw total energy = -5.496 eV/atom
# Relative energy among the computed polymorphs = 103 meV per atom
# Magnetization = 0.000 μB per formula unit


# Pm4Ge2Br3 | Alexandria via LeMat-Bulk | PBE | relaxed
data_Pm4Ge2Br3
_chemical_formula_sum 'Pm8 Ge4 Br6'
_symmetry_space_group_name_H-M 'C 1 2/m 1'
_symmetry_Int_Tables_number 12
_symmetry_space_group_name_Hall '-C 2y'
_cell_length_a 7.387
_cell_length_b 4.265
_cell_length_c 17.821
_cell_angle_alpha 90.00
_cell_angle_beta 90.10
_cell_angle_gamma 90.00
loop_
_atom_site_label
_atom_site_type_symbol
_atom_site_fract_x
_atom_site_fract_y
_atom_site_fract_z
Pm1 Pm 0.001 0.000 0.295
Pm2 Pm 0.166 0.500 0.885
Ge1 Ge 0.167 0.500 0.201
Br1 Br 0.000 0.000 0.000
Br2 Br 0.165 0.500 0.605
# Raw total energy = -5.023 eV/atom
# Energy relative to the elements, uncorrected = -1.33 eV/atom
# Magnetization = 0.000 μB per formula unit


# Dy2Ho3Al | Alexandria via LeMat-Bulk | PBE | relaxed
data_Dy2Ho3Al
_chemical_formula_sum 'Dy4 Ho6 Al2'
_symmetry_space_group_name_H-M 'C m m m'
_symmetry_Int_Tables_number 65
_symmetry_space_group_name_Hall '-C 2 2'
_cell_length_a 4.778
_cell_length_b 14.814
_cell_length_c 4.808
_cell_angle_alpha 90.00
_cell_angle_beta 90.00
_cell_angle_gamma 90.00
loop_
_atom_site_label
_atom_site_type_symbol
_atom_site_fract_x
_atom_site_fract_y
_atom_site_fract_z
Dy1 Dy 0.000 0.159 0.000
Ho1 Ho 0.000 0.000 0.500
Ho2 Ho 0.000 0.335 0.500
Al1 Al 0.000 0.500 0.000
# Formation enthalpy at 0 K = -0.0954 eV/atom
# Raw total energy = -4.542 eV/atom
# Magnetization = 0.000 μB per formula unit


# Pm2PrNi2 | Alexandria via LeMat-Bulk | PBE | relaxed
data_Pm2PrNi2
_chemical_formula_sum 'Pm4 Pr2 Ni4'
_symmetry_space_group_name_H-M 'C m m m'
_symmetry_Int_Tables_number 65
_symmetry_space_group_name_Hall '-C 2 2'
_cell_length_a 4.456
_cell_length_b 14.451
_cell_length_c 3.822
_cell_angle_alpha 90.00
_cell_angle_beta 90.00
_cell_angle_gamma 90.00
loop_
_atom_site_label
_atom_site_type_symbol
_atom_site_fract_x
_atom_site_fract_y
_atom_site_fract_z
Pm1 Pm 0.000 0.152 0.000
Pr1 Pr 0.000 0.500 0.500
Ni1 Ni 0.000 0.298 0.500
# Formation enthalpy at 0 K = -0.2468 eV/atom
# Raw total energy = -5.415 eV/atom
# Relative energy among the computed polymorphs = 0 meV per atom
# Magnetization = 0.000 μB per formula unit